Entry 1:
Entry from the Alexandria database: a relaxed MnPb crystal (PBE).

Volume = 85 Å³ per cell
ΔH_f (0 K) = 0.4386 eV per atom
Space-group type = R-3m (166)
Energy = -24.0 eV per cell

Cell: 7.2822 7.2822 7.2822 Å, 29.89 29.89 29.89°
Sites, in units of the cell vectors:
Mn: 0.6601 0.6601 0.6601
Mn: 0.3399 0.3399 0.3399
Pb: 0.9022 0.9022 0.9022
Pb: 0.0978 0.0978 0.0978


Entry 2:
Entry from the Alexandria database: a relaxed AgTeSe2Br crystal (PBE).

Volume = 322 Å³ per cell
Formation energy from raw total energies = -0.084 eV per atom
Space-group type = P2_1/m (11)
Energy = -30.1 eV per cell

Cell: 4.1593 10.4977 11.7868 Å, 141.20 90.00 90.00°
Sites, in units of the cell vectors:
Br: 0.2500 0.8827 0.0666
Br: 0.7500 0.1173 0.9334
Se: 0.2500 0.2983 0.7504
Se: 0.7500 0.4819 0.6106
Se: 0.2500 0.5181 0.3894
Se: 0.7500 0.7017 0.2496
Ag: 0.7500 0.7429 0.5943
Ag: 0.2500 0.2571 0.4057
Te: 0.2500 0.4502 0.1252
Te: 0.7500 0.5498 0.8748


Entry 3:
Entry from the Alexandria database: a relaxed Mg2BePb crystal (PBE).

Volume = 83 Å³ per cell
ΔH_f (0 K) = 0.2105 eV per atom
Space-group type = P4/mmm (123)
Energy = -9.8 eV per cell

Cell: 3.2483 3.2483 7.8356 Å, 90.00 90.00 90.00°
Sites, in units of the cell vectors:
Be: 0.5000 0.5000 0.0000
Mg: 0.0000 0.0000 0.1945
Mg: 0.0000 0.0000 0.8055
Pb: 0.5000 0.5000 0.5000


Entry 4:
Entry from the Alexandria database: a relaxed Tb6Ho4Tm19 crystal (PBE).

Volume = 926 Å³ per cell
ΔH_f (0 K) = 0.3877 eV per atom
Space-group type = I23 (197)
Energy = -119.8 eV per cell

Cell: 10.6357 10.6353 10.6354 Å, 109.47 109.47 109.47°
Sites, in units of the cell vectors:
Tm: 0.0000 0.2602 0.2602
Tm: 0.3239 0.7875 0.9835
Tm: 0.6761 0.6596 0.4636
Tm: 0.3404 0.0165 0.8040
Tm: 0.2125 0.5364 0.1960
Tm: 0.0000 0.0000 0.0000
Tm: 0.1960 0.2125 0.5364
Tm: 0.7398 0.7398 0.0000
Tm: 0.2602 0.0000 0.2602
Tm: 0.4636 0.6761 0.6596
Tm: 0.8040 0.3404 0.0165
Tm: 0.6596 0.4636 0.6761
Tm: 0.2602 0.2602 0.0000
Tm: 0.9835 0.3239 0.7875
Tm: 0.5364 0.1960 0.2125
Tm: 0.7398 0.0000 0.7398
Tm: 0.7875 0.9835 0.3239
Tm: 0.0000 0.7398 0.7398
Tm: 0.0165 0.8040 0.3404
Ho: 0.0000 0.0000 0.6425
Ho: 0.6425 0.0000 0.0000
Ho: 0.3575 0.3575 0.3575
Ho: 0.0000 0.6425 0.0000
Tb: 0.3715 0.5000 0.8715
Tb: 0.5000 0.8715 0.3715
Tb: 0.1285 0.6285 0.5000
Tb: 0.5000 0.1285 0.6285
Tb: 0.6285 0.5000 0.1285
Tb: 0.8715 0.3715 0.5000


Entry 5:
Entry from the Alexandria database: a relaxed Sc3OsRu crystal (PBE).

Volume = 118 Å³ per cell
ΔH_f (0 K) = 0.4517 eV per atom
Space-group type = Pm-3m (221)
Energy = -37.2 eV per cell

Cell: 4.9116 4.9116 4.9116 Å, 90.00 90.00 90.00°
Sites, in units of the cell vectors:
Sc: 0.5000 0.0000 0.0000
Sc: 0.0000 0.0000 0.5000
Sc: 0.0000 0.5000 0.0000
Os: 0.0000 0.0000 0.0000
Ru: 0.5000 0.5000 0.5000


Entry 6:
Entry from the Alexandria database: a relaxed KCoAu2 crystal (PBE).

Volume = 91 Å³ per cell
ΔH_f (0 K) = 0.2978 eV per atom
Space-group type = Cm (8)
Energy = -13.6 eV per cell

Cell: 4.8793 4.8793 6.8573 Å, 83.94 83.94 33.99°
Sites, in units of the cell vectors:
Co: 0.4849 0.4849 0.6202
Au: 0.0129 0.0129 0.9399
Au: 0.7518 0.7518 0.6949
K: 0.2504 0.2504 0.2450


Entry 7:
Entry from the Alexandria database: a relaxed Ba2ZnB2S6 crystal (PBE).

Volume = 256 Å³ per cell
Formation energy from raw total energies = -1.082 eV per atom
Space-group type = C2/m (12)
Energy = -55.1 eV per cell

Cell: 6.3758 6.6803 7.5456 Å, 111.95 90.00 118.50°
Sites, in units of the cell vectors:
Ba: 0.3021 0.6043 0.7981
Ba: 0.6979 0.3957 0.2019
Zn: 0.5000 0.0000 0.5000
S: 0.1988 0.9043 0.2293
S: 0.7928 0.5857 0.6696
S: 0.2072 0.4143 0.3304
S: 0.7055 0.9043 0.2293
S: 0.8012 0.0957 0.7707
S: 0.2945 0.0957 0.7707
B: 0.0421 0.0842 0.2731
B: 0.9579 0.9158 0.7269


Entry 8:
Entry from the Alexandria database: a relaxed CrAgPBr2 crystal (PBE).

Volume = 119 Å³ per cell
Formation energy from raw total energies = 0.935 eV per atom
Space-group type = P4/mmm (123)
Energy = -16.6 eV per cell

Cell: 4.5981 5.6056 4.5981 Å, 90.00 90.00 90.00°
Sites, in units of the cell vectors:
Br: 0.0000 0.0000 0.5000
Br: 0.5000 0.0000 0.0000
Ag: 0.0000 0.5000 0.0000
Cr: 0.0000 0.0000 0.0000
P: 0.5000 0.5000 0.5000


Entry 9:
Entry from the Alexandria database: a relaxed MgSiN2F crystal (PBE).

Volume = 48 Å³ per cell
Formation energy from raw total energies = -0.821 eV per atom
Space-group type = P4/mmm (123)
Energy = -29.6 eV per cell

Cell: 3.5718 3.5718 3.7658 Å, 90.00 90.00 90.00°
Sites, in units of the cell vectors:
N: 0.5000 0.0000 0.0000
N: 0.0000 0.5000 0.0000
Si: 0.0000 0.0000 0.0000
F: 0.0000 0.0000 0.5000
Mg: 0.5000 0.5000 0.5000


Entry 10:
Entry from the Alexandria database: a relaxed RbSnAsN2 crystal (PBE).

Volume = 112 Å³ per cell
Formation energy from raw total energies = 1.187 eV per atom
Space-group type = P4/mmm (123)
Energy = -20.3 eV per cell

Cell: 4.5128 5.4950 4.5128 Å, 90.00 90.00 90.00°
Sites, in units of the cell vectors:
N: 0.5000 0.0000 0.0000
N: 0.0000 0.0000 0.5000
Rb: 0.5000 0.5000 0.5000
Sn: 0.0000 0.0000 0.0000
As: 0.0000 0.5000 0.0000


Entry 11:
Entry from the Alexandria database: a relaxed AlCoPtRh crystal (PBE).

Volume = 55 Å³ per cell
ΔH_f (0 K) = -0.4830 eV per atom
Space-group type = F-43m (216)
Energy = -26.2 eV per cell

Cell: 4.2613 4.2613 4.2613 Å, 60.00 60.00 60.00°
Sites, in units of the cell vectors:
Rh: 0.2500 0.2500 0.2500
Pt: 0.7500 0.7500 0.7500
Co: 0.5000 0.5000 0.5000
Al: 0.0000 0.0000 0.0000


Entry 12:
Entry from the Alexandria database: a relaxed CaSe2S crystal (PBE).

Volume = 240 Å³ per cell
Formation energy from raw total energies = -0.504 eV per atom
Space-group type = I-42d (122)
Energy = -30.2 eV per cell

Cell: 5.6534 5.6534 8.4984 Å, 70.57 70.57 90.00°
Sites, in units of the cell vectors:
Se: 0.5542 0.1250 0.2500
Se: 0.3750 0.4458 0.7500
Se: 0.8750 0.8042 0.7500
Se: 0.1958 0.6250 0.2500
S: 0.5000 0.5000 0.0000
S: 0.2500 0.7500 0.5000
Ca: 0.0000 0.0000 0.0000
Ca: 0.7500 0.2500 0.5000


- The highest volume belongs to which entry?
  Tb6Ho4Tm19


- What is the formula in the sixth record?
  KCoAu2